## SbC2 (GGA-PBEsol)

Data for a relaxed structure of SbC2. Values from VASP.

Calculated values
The crystal system is trigonal. The space group is R-3m, No. 166. The value obtained for the density of states at the Fermi level is 1.32 states/eV per cell. As for the total energy: -5.4187 eV per atom.

Quantum ESPRESSO input file:
```
&SYSTEM
  ibrav = 0, nat = 3, ntyp = 2
/
ATOMIC_SPECIES
Sb 121.76 Sb.upf
C 12.01 C.upf
ATOMIC_POSITIONS crystal
Sb 0.000 0.000 0.000
C 0.232 0.232 0.303
C 0.768 0.768 0.697
CELL_PARAMETERS angstrom
-1.044 -3.144 0.641
2.166 -2.577 -0.232
1.314 -1.455 3.886
```

## SbC3 (GGA-PBEsol)

Data for a relaxed structure of SbC3. Values from VASP.

Calculated values
The crystal system is tetragonal. The space group is P-4m2, No. 115. The value obtained for the density of states at the Fermi level is 0.92 states/eV per cell. As for the total energy: -6.9171 eV per atom.

Quantum ESPRESSO input file:
```
&SYSTEM
  ibrav = 0, nat = 4, ntyp = 2
/
ATOMIC_SPECIES
Sb 121.76 Sb.upf
C 12.01 C.upf
ATOMIC_POSITIONS crystal
Sb 0.500 0.500 0.000
C 0.500 0.000 0.632
C 0.000 0.000 0.500
C 0.000 0.500 0.368
CELL_PARAMETERS angstrom
2.683 0.000 0.000
0.000 2.683 0.000
0.000 0.000 6.049
```

## SbC2 (GGA-PBEsol)

Data for a relaxed structure of SbC2. Values from VASP.

Calculated values
The crystal system is orthorhombic. The space group is Pnnm, No. 58. The value obtained for the density of states at the Fermi level is 1.45 states/eV per cell. As for the total energy: -6.8634 eV per atom.

Quantum ESPRESSO input file:
```
&SYSTEM
  ibrav = 0, nat = 6, ntyp = 2
/
ATOMIC_SPECIES
Sb 121.76 Sb.upf
C 12.01 C.upf
ATOMIC_POSITIONS crystal
Sb 0.000 0.000 0.000
Sb 0.500 0.500 0.500
C 0.000 0.133 0.579
C 0.000 0.867 0.421
C 0.500 0.633 0.921
C 0.500 0.367 0.079
CELL_PARAMETERS angstrom
3.340 0.000 0.000
0.000 4.190 0.000
0.000 0.000 5.251
```

## SbC (GGA-PBEsol)

Data for a relaxed structure of SbC. Values from VASP.

Calculated values
The crystal system is orthorhombic. The space group is Cmcm, No. 63. The value obtained for the density of states at the Fermi level is 1.45 states/eV per cell. As for the total energy: -5.6917 eV per atom.

Quantum ESPRESSO input file:
```
&SYSTEM
  ibrav = 0, nat = 4, ntyp = 2
/
ATOMIC_SPECIES
Sb 121.76 Sb.upf
C 12.01 C.upf
ATOMIC_POSITIONS crystal
Sb 0.750 0.637 0.726
Sb 0.250 0.363 0.274
C 0.750 0.836 0.328
C 0.250 0.164 0.672
CELL_PARAMETERS angstrom
3.303 0.000 0.000
0.000 3.316 0.000
0.000 1.658 5.594
```